# 1
Material: DyZrBi2O6
Method: DFT, PBE
State: relaxed

a = 5.9311 Å, b = 5.9334 Å, c = 5.9347 Å
α = 61.40°, β = 61.45°, γ = 61.45°
With the nearest neighbours (Å) after each atom.
Element x y z (fractional)
Dy1 0.0000 0.0000 0.0000  6 O 2.27-2.33
Zr1 0.5171 0.5170 0.5174  6 O 2.06-2.28
Bi1 0.2907 0.2911 0.2911  6 O 2.36-2.46
Bi2 0.7546 0.7555 0.7543  3 O 2.42-2.43
O1 0.1592 0.3653 0.6999  1 Zr 2.28, 1 Dy 2.33, 2 Bi 2.36-2.43
O2 0.2491 0.8524 0.6363  1 Zr 2.06, 1 Dy 2.27
O3 0.3655 0.7002 0.1594  1 Zr 2.28, 1 Dy 2.33, 2 Bi 2.36-2.42
O4 0.6353 0.2477 0.8533  1 Zr 2.06, 1 Dy 2.27
O5 0.7008 0.1590 0.3652  1 Zr 2.28, 1 Dy 2.33, 2 Bi 2.36-2.42
O6 0.8534 0.6351 0.2495  1 Zr 2.06, 1 Dy 2.27

The total energy comes out at -7.31 eV/atom. As for the magnetization: 0.00 μB per atom. The energy relative to the elements, uncorrected is -2.244 eV per atom.



# 2
Material: LiFe2Ir
Method: DFT, PBE
State: relaxed

a = 2.6123 Å, b = 2.6123 Å, c = 8.6242 Å
α = 90.00°, β = 90.00°, γ = 115.12°
With the nearest neighbours (Å) after each atom.
Element x y z (fractional)
Li1 0.0000 0.0000 0.0000  2 Ir 2.61, 6 Li 2.61-2.80, 2 Fe 2.69
Fe1 0.0000 0.0000 0.4942  6 Fe 2.41-2.61, 2 Ir 2.57
Fe2 0.5000 0.5000 0.2663  6 Fe 2.41-2.61, 2 Li 2.69
Ir1 0.5000 0.5000 0.7447  2 Fe 2.57, 2 Li 2.61, 6 Ir 2.61-2.80

The total energy comes out at -6.85 eV/atom. The formation energy comes out at 0.07 eV per atom. As for the magnetization: 1.46 μB per atom.



# 3
Material: BaTh2US8
Method: DFT, PBE
State: relaxed

a = 6.3565 Å, b = 8.6433 Å, c = 6.5030 Å
α = 90.00°, β = 90.16°, γ = 90.00°
With the nearest neighbours (Å) after each atom.
Element x y z (fractional)
Ba1 0.0000 0.0000 0.0000  6 S 3.04-3.12
Th1 0.5000 0.2494 0.5000  6 S 2.71-2.88
Th2 0.5000 0.7506 0.5000  6 S 2.71-2.88
U1 0.0000 0.5000 0.0000  6 S 2.53-2.67
S1 0.2325 0.2947 0.1595  1 U 2.53, 1 Th 2.82
S2 0.2325 0.7053 0.1595  1 U 2.53, 1 Th 2.82
S3 0.2657 0.5000 0.6818  1 U 2.67, 2 Th 2.88
S4 0.2678 0.0000 0.6125  2 Th 2.71
S5 0.7322 0.0000 0.3875  2 Th 2.71
S6 0.7343 0.5000 0.3182  1 U 2.67, 2 Th 2.88
S7 0.7675 0.2947 0.8405  1 U 2.53, 1 Th 2.82
S8 0.7675 0.7053 0.8405  1 U 2.53, 1 Th 2.82

The total energy comes out at -6.68 eV/atom. As for the magnetization: 0.00 μB per atom. The energy relative to the elements, uncorrected is -1.595 eV per atom.



# 4
Material: CsHCl2
Method: DFT, PBE
State: relaxed

a = 6.9456 Å, b = 6.9456 Å, c = 6.9456 Å
α = 46.90°, β = 46.90°, γ = 46.90°
With the nearest neighbours (Å) after each atom.
Element x y z (fractional)
Cs1 0.0000 0.0000 0.0000  6 Cl 3.54
H1 0.5000 0.5000 0.5000  2 Cl 1.56
Cl1 0.4157 0.4157 0.4157  1 H 1.56
Cl2 0.5843 0.5843 0.5843  1 H 1.56

The total energy comes out at -3.26 eV/atom. As for the magnetization: 0.00 μB per atom. For the energy above the most stable polymorph in this dataset, the calculation gives 0.79 kJ/mol of atoms.



# 5
Material: CeLuMgZr
Method: DFT, PBE
State: relaxed

a = 5.2738 Å, b = 5.2738 Å, c = 5.2738 Å
α = 60.00°, β = 60.00°, γ = 60.00°
With the nearest neighbours (Å) after each atom.
Element x y z (fractional)
Ce1 0.0000 0.0000 0.0000  4 Mg 3.23, 4 Zr 3.23
Lu1 0.5000 0.5000 0.5000  4 Mg 3.23, 4 Zr 3.23
Mg1 0.7500 0.7500 0.7500  4 Ce 3.23, 4 Lu 3.23
Zr1 0.2500 0.2500 0.2500  4 Ce 3.23, 4 Lu 3.23

The total energy comes out at -5.02 eV/atom. The formation energy comes out at 0.13 eV per atom. As for the magnetization: 0.24 μB per atom.



# 6
Material: CoHgSb2
Method: DFT, PBE
State: relaxed

a = 4.6835 Å, b = 4.6835 Å, c = 3.9730 Å
α = 90.00°, β = 90.00°, γ = 90.00°
With the nearest neighbours (Å) after each atom.
Element x y z (fractional)
Co1 0.0000 0.0000 0.0000  8 Sb 3.07, 4 Hg 3.31
Hg1 0.5000 0.5000 0.0000  8 Sb 3.07, 4 Co 3.31
Sb1 0.0000 0.5000 0.5000  4 Hg 3.07, 4 Co 3.07, 4 Sb 3.31
Sb2 0.5000 0.0000 0.5000  4 Hg 3.07, 4 Co 3.07, 4 Sb 3.31

The total energy comes out at -3.37 eV/atom. As for the magnetization: 0.34 μB per atom. The energy relative to the elements, uncorrected is 0.540 eV per atom.



# 7
Material: LaGaSb2I
Method: DFT, PBE
State: relaxed

a = 5.2916 Å, b = 5.2916 Å, c = 5.7720 Å
α = 90.00°, β = 90.00°, γ = 90.00°
With the nearest neighbours (Å) after each atom.
Element x y z (fractional)
La1 0.0000 0.0000 0.0000  4 I 3.74, 8 Sb 3.92
Ga1 0.5000 0.5000 0.5000  4 Sb 2.65, 2 I 2.89
Sb1 0.0000 0.5000 0.5000  2 Ga 2.65
Sb2 0.5000 0.0000 0.5000  2 Ga 2.65
I1 0.5000 0.5000 0.0000  2 Ga 2.89

The total energy comes out at -3.74 eV/atom. As for the magnetization: 0.00 μB per atom. The energy relative to the elements, uncorrected is -0.190 eV per atom. For the energy above the most stable polymorph in this dataset, the calculation gives 0.00 kJ/mol of atoms.



# 8
Material: Zr2ZnFeH
Method: DFT, PBE
State: relaxed

a = 4.5828 Å, b = 4.5828 Å, c = 3.4017 Å
α = 90.00°, β = 90.00°, γ = 90.00°
With the nearest neighbours (Å) after each atom.
Element x y z (fractional)
Zr1 0.0000 0.5000 0.0000  2 H 2.29
Zr2 0.5000 0.0000 0.0000  2 H 2.29
Zn1 0.0000 0.0000 0.5000  8 Zr 2.85
Fe1 0.5000 0.5000 0.5000  2 H 1.70
H1 0.5000 0.5000 0.0000  2 Fe 1.70

The total energy comes out at -6.27 eV/atom. As for the magnetization: 0.00 μB per atom.